# 1
Entry from the Alexandria database: a geometry-optimized LiLaTmGa structure (PBE).

## Properties
As for the formation energy: -0.289 eV/atom.

Cell: 5.2092 5.2092 5.2092 Å, 60.00 60.00 60.00°
With the nearest neighbours (Å) after each atom.
Sites, in units of the cell vectors:
Li (0.0000, 0.0000, 0.0000)  4 La 3.19, 4 Tm 3.19
La (0.7500, 0.7500, 0.7500)  4 Ga 3.19, 4 Li 3.19
Tm (0.2500, 0.2500, 0.2500)  4 Li 3.19, 4 Ga 3.19
Ga (0.5000, 0.5000, 0.5000)  4 La 3.19, 4 Tm 3.19

=====

# 2
Entry from the Alexandria database: a geometry-optimized NaSbTeN2 structure (PBE).

## Properties
Its raw formation energy is 0.9574 eV per atom. The value obtained for the energy above the most stable polymorph in this dataset is 0.0 meV/atom.

Cell: 4.2390 4.2390 5.9708 Å, 90.00 90.00 90.00°
With the nearest neighbours (Å) after each atom.
Sites, in units of the cell vectors:
Na (0.0000, 0.0000, 0.0000)  4 Te 3.00
Sb (0.5000, 0.5000, 0.5000)  4 N 2.12
Te (0.5000, 0.5000, 0.0000)  2 Sb 2.99, 4 Na 3.00
N (0.0000, 0.5000, 0.5000)  2 Sb 2.12
N (0.5000, 0.0000, 0.5000)  2 Sb 2.12

=====

# 3
Entry from the Alexandria database: a geometry-optimized Li2GaIr structure (PBE).

## Properties
As for the formation energy: -0.120 eV/atom.

Cell: 9.7340 9.7340 9.7340 Å, 158.72 158.72 30.28°
With the nearest neighbours (Å) after each atom.
Sites, in units of the cell vectors:
Li (0.1100, 0.6250, 0.9850)  4 Li 2.47-2.62, 2 Ir 2.65, 2 Ga 2.69
Li (0.3750, 0.3600, 0.4850)  4 Li 2.47-2.62, 2 Ir 2.65, 2 Ga 2.69
Li (0.6400, 0.1250, 0.0150)  4 Li 2.47-2.62, 2 Ir 2.65, 2 Ga 2.69
Li (0.8750, 0.8900, 0.5150)  4 Li 2.47-2.62, 2 Ir 2.65, 2 Ga 2.69
Ga (0.2500, 0.7500, 0.5000)  4 Ir 2.54, 4 Li 2.69
Ga (0.5000, 0.5000, 0.0000)  4 Ir 2.54, 4 Li 2.69
Ir (0.0000, 0.0000, 0.0000)  4 Ga 2.54, 4 Li 2.65
Ir (0.7500, 0.2500, 0.5000)  4 Ga 2.54, 4 Li 2.65

=====

# 4
Entry from the Alexandria database: a geometry-optimized Ce7Ga2Rh2 structure (PBE).

## Properties
As for the formation energy: -0.345 eV/atom.

Cell: 6.6676 6.6676 6.6715 Å, 90.00 90.00 106.92°
With the nearest neighbours (Å) after each atom.
Sites, in units of the cell vectors:
Ce (0.0000, 0.0000, 0.0000)  2 Rh 3.08
Ce (0.0000, 0.5000, 0.2858)  2 Rh 2.78, 1 Ce 2.86
Ce (0.0000, 0.5000, 0.7142)  2 Rh 2.78, 1 Ce 2.86
Ce (0.5000, 0.0000, 0.2858)  2 Rh 2.78, 1 Ce 2.86
Ce (0.5000, 0.0000, 0.7142)  2 Rh 2.78, 1 Ce 2.86
Ce (0.5000, 0.5000, 0.2928)  1 Ce 2.77, 2 Rh 3.00, 2 Ga 3.06
Ce (0.5000, 0.5000, 0.7072)  1 Ce 2.77, 2 Rh 3.00, 2 Ga 3.06
Ga (0.1555, 0.1555, 0.5000)  1 Ga 2.47
Ga (0.8445, 0.8445, 0.5000)  1 Ga 2.47
Rh (0.2878, 0.7122, 0.0000)  7 Ce 2.78-3.08
Rh (0.7122, 0.2878, 0.0000)  7 Ce 2.78-3.08

=====

# 5
Entry from the Alexandria database: a geometry-optimized Li2OsPb structure (PBE).

## Properties
As for the formation energy: 0.388 eV/atom.

Cell: 9.5648 9.5648 9.5648 Å, 17.82 17.82 17.82°
With the nearest neighbours (Å) after each atom.
Sites, in units of the cell vectors:
Li (0.2406, 0.2406, 0.2406)  3 Os 2.70, 6 Li 2.96
Li (0.7594, 0.7594, 0.7594)  3 Os 2.70, 6 Li 2.96
Os (0.5000, 0.5000, 0.5000)  6 Li 2.70, 6 Os 2.96
Pb (0.0000, 0.0000, 0.0000)  6 Pb 2.96, 6 Li 3.13

=====

# 6
Entry from the Alexandria database: a geometry-optimized LiInMo3 structure (PBE).

## Properties
As for the formation energy: 1.163 eV/atom. The value obtained for the energy above the most stable polymorph in this dataset is 0.0 meV/atom.

Cell: 4.3195 4.3195 4.3195 Å, 90.00 90.00 90.00°
With the nearest neighbours (Å) after each atom.
Sites, in units of the cell vectors:
Li (0.0000, 0.0000, 0.0000)  6 Mo 2.16
In (0.5000, 0.5000, 0.5000)  12 Mo 3.05
Mo (0.0000, 0.0000, 0.5000)  2 Li 2.16
Mo (0.0000, 0.5000, 0.0000)  2 Li 2.16
Mo (0.5000, 0.0000, 0.0000)  2 Li 2.16

=====

# 7
Entry from the Alexandria database: a geometry-optimized Cs2NaTe2Pd structure (PBE).

## Properties
Its raw formation energy is -0.7147 eV per atom.

Cell: 9.7116 9.7116 9.7116 Å, 134.91 65.49 135.14°
With the nearest neighbours (Å) after each atom.
Sites, in units of the cell vectors:
Cs (0.1663, 0.2470, 0.4133)  5 Te 3.72-4.10, 2 Pd 3.77, 2 Na 3.79
Cs (0.3337, 0.7470, 0.0807)  5 Te 3.72-4.10, 2 Pd 3.77, 2 Na 3.79
Cs (0.6663, 0.2530, 0.9193)  5 Te 3.72-4.10, 2 Pd 3.77, 2 Na 3.79
Cs (0.8337, 0.7530, 0.5867)  5 Te 3.72-4.10, 2 Pd 3.77, 2 Na 3.79
Na (0.2500, 0.7500, 0.5000)  4 Te 3.12
Na (0.7500, 0.2500, 0.5000)  4 Te 3.12
Te (0.0835, 0.7823, 0.8658)  2 Pd 2.81, 2 Na 3.12
Te (0.4165, 0.2823, 0.6988)  2 Pd 2.81, 2 Na 3.12
Te (0.5835, 0.7177, 0.3012)  2 Pd 2.81, 2 Na 3.12
Te (0.9165, 0.2177, 0.1342)  2 Pd 2.81, 2 Na 3.12
Pd (0.2500, 0.2500, 0.0000)  4 Te 2.81
Pd (0.7500, 0.7500, 0.0000)  4 Te 2.81

=====

# 8
Entry from the Alexandria database: a geometry-optimized Tb3YSe6 structure (PBE).

## Properties
Its raw formation energy is -1.8668 eV per atom. The value obtained for the energy above the most stable polymorph in this dataset is 0.0 meV/atom.

Cell: 11.5994 4.1152 11.8979 Å, 90.00 109.02 90.00°
With the nearest neighbours (Å) after each atom.
Sites, in units of the cell vectors:
Tb (0.0692, 0.2500, 0.1679)  6 Se 2.82-2.91
Tb (0.1825, 0.7500, 0.5021)  7 Se 2.83-3.09
Tb (0.3408, 0.2500, 0.9174)  6 Se 2.81-2.91
Tb (0.6592, 0.7500, 0.0826)  6 Se 2.81-2.91
Tb (0.8175, 0.2500, 0.4979)  7 Se 2.83-3.09
Tb (0.9308, 0.7500, 0.8321)  6 Se 2.82-2.91
Y (0.4573, 0.2500, 0.3090)  8 Se 2.95-3.15
Y (0.5427, 0.7500, 0.6910)  8 Se 2.95-3.15
Se (0.0195, 0.2500, 0.3845)  4 Tb 2.82-3.06
Se (0.1030, 0.2500, 0.9365)  4 Tb 2.84-2.90
Se (0.2482, 0.7500, 0.2780)  3 Tb 2.91-3.00, 2 Y 3.11
Se (0.3089, 0.7500, 0.7497)  3 Tb 2.81-2.83, 1 Y 3.01
Se (0.3894, 0.2500, 0.5352)  3 Y 2.95-3.04, 2 Tb 3.09
Se (0.4170, 0.7500, 0.0995)  3 Tb 2.88-2.91, 2 Y 3.15
Se (0.5830, 0.2500, 0.9005)  3 Tb 2.88-2.91, 2 Y 3.15
Se (0.6106, 0.7500, 0.4648)  3 Y 2.95-3.04, 2 Tb 3.09
Se (0.6911, 0.2500, 0.2503)  3 Tb 2.81-2.83, 1 Y 3.01
Se (0.7518, 0.2500, 0.7220)  3 Tb 2.91-3.00, 2 Y 3.11
Se (0.8970, 0.7500, 0.0635)  4 Tb 2.84-2.90
Se (0.9805, 0.7500, 0.6155)  4 Tb 2.82-3.06

=====

# 9
Entry from the Alexandria database: a geometry-optimized NaReI2O structure (PBE).

## Properties
Its raw formation energy is 1.1697 eV per atom. The value obtained for the energy above the most stable polymorph in this dataset is 1659.5 meV/atom.

Cell: 5.7092 5.7092 4.1466 Å, 90.00 90.00 90.00°
With the nearest neighbours (Å) after each atom.
Sites, in units of the cell vectors:
Na (0.0000, 0.0000, 0.0000)  2 O 2.07
Re (0.5000, 0.5000, 0.5000)  8 I 3.53
I (0.0000, 0.5000, 0.0000)  2 Na 2.85
I (0.5000, 0.0000, 0.0000)  2 Na 2.85
O (0.0000, 0.0000, 0.5000)  2 Na 2.07

=====

# 10
Entry from the Alexandria database: a geometry-optimized YPdAu structure (PBE).

## Properties
As for the formation energy: -0.565 eV/atom.

Cell: 5.6350 5.6350 5.6350 Å, 41.28 41.28 41.28°
With the nearest neighbours (Å) after each atom.
Sites, in units of the cell vectors:
Y (0.0000, 0.0000, 0.0000)  3 Pd 2.87, 3 Au 2.96
Pd (0.2216, 0.2216, 0.2216)  3 Au 2.77, 3 Y 2.87
Au (0.7875, 0.7875, 0.7875)  3 Pd 2.77, 3 Y 2.96

=====

# 11
Entry from the Alexandria database: a geometry-optimized U2FeTc structure (PBE).

## Properties
As for the formation energy: 0.064 eV/atom.

Cell: 3.3705 3.3705 6.1852 Å, 90.00 90.00 90.00°
With the nearest neighbours (Å) after each atom.
Sites, in units of the cell vectors:
U (0.0000, 0.0000, 0.2126)  1 U 2.63, 4 Fe 2.72
U (0.0000, 0.0000, 0.7874)  1 U 2.63, 4 Fe 2.72
Fe (0.5000, 0.5000, 0.0000)  8 U 2.72
Tc (0.5000, 0.5000, 0.5000)  8 U 2.97, 2 Fe 3.09

=====

# 12
Entry from the Alexandria database: a geometry-optimized ScCo2NiH structure (PBE).

## Properties
The value obtained for the energy above the most stable polymorph in this dataset is 13.3 meV/atom.

Cell: 3.6342 3.6342 4.0174 Å, 90.00 90.00 90.00°
With the nearest neighbours (Å) after each atom.
Sites, in units of the cell vectors:
Sc (0.0000, 0.0000, 0.0000)  2 H 2.01
Co (0.0000, 0.5000, 0.5000)  2 H 1.82
Co (0.5000, 0.0000, 0.5000)  2 H 1.82
Ni (0.5000, 0.5000, 0.0000)  4 Sc 2.57, 8 Co 2.71
H (0.0000, 0.0000, 0.5000)  4 Co 1.82, 2 Sc 2.01

=====

# 13
Entry from the Alexandria database: a geometry-optimized LaTb3Sm2Y6 structure (PBE).

## Properties
As for the formation energy: 0.018 eV/atom.

Cell: 6.2293 6.2293 11.8700 Å, 95.00 95.00 119.97°
With the nearest neighbours (Å) after each atom.
Sites, in units of the cell vectors:
La (0.0000, 0.0000, 0.0000)  6 Sm 3.60, 6 Y 3.61-3.62
Tb (0.1669, 0.8331, 0.5000)  6 Y 3.55-3.56, 6 Tb 3.59-3.60
Tb (0.5000, 0.5000, 0.5000)  6 Y 3.55-3.56, 6 Tb 3.59-3.60
Tb (0.8331, 0.1669, 0.5000)  6 Y 3.55-3.56, 6 Tb 3.59-3.60
Sm (0.3334, 0.6666, 0.0000)  3 Sm 3.59-3.60, 3 La 3.60, 6 Y 3.61
Sm (0.6666, 0.3334, 0.0000)  3 Sm 3.59-3.60, 3 La 3.60, 6 Y 3.61
Y (0.0846, 0.4187, 0.2529)  3 Tb 3.55-3.56, 6 Y 3.59-3.61, 2 Sm 3.61, 1 La 3.62
Y (0.2496, 0.2496, 0.7470)  3 Tb 3.55-3.56, 6 Y 3.59-3.61, 2 Sm 3.61, 1 La 3.61
Y (0.4187, 0.0846, 0.2529)  3 Tb 3.55-3.56, 6 Y 3.59-3.61, 2 Sm 3.61, 1 La 3.62
Y (0.5813, 0.9154, 0.7471)  3 Tb 3.55-3.56, 6 Y 3.59-3.61, 2 Sm 3.61, 1 La 3.62
Y (0.7504, 0.7504, 0.2530)  3 Tb 3.55-3.56, 6 Y 3.59-3.61, 2 Sm 3.61, 1 La 3.61
Y (0.9154, 0.5813, 0.7471)  3 Tb 3.55-3.56, 6 Y 3.59-3.61, 2 Sm 3.61, 1 La 3.62

=====

# 14
Entry from the Alexandria database: a geometry-optimized SnSeN2F structure (PBE).

## Properties
Its raw formation energy is 0.6677 eV per atom. The value obtained for the energy above the most stable polymorph in this dataset is 0.0 meV/atom.

Cell: 3.9625 3.9625 4.4033 Å, 90.00 90.00 90.00°
With the nearest neighbours (Å) after each atom.
Sites, in units of the cell vectors:
Sn (0.0000, 0.0000, 0.0000)  4 F 2.80, 8 N 2.96
Se (0.5000, 0.5000, 0.5000)  4 N 1.98, 2 F 2.20
N (0.0000, 0.5000, 0.5000)  2 Se 1.98
N (0.5000, 0.0000, 0.5000)  2 Se 1.98
F (0.5000, 0.5000, 0.0000)  2 Se 2.20

=====

# 15
Entry from the Alexandria database: a geometry-optimized BeRhAu2 structure (PBE).

## Properties
As for the formation energy: -0.086 eV/atom.

Cell: 5.1591 5.1591 4.5225 Å, 115.94 115.94 33.15°
With the nearest neighbours (Å) after each atom.
Sites, in units of the cell vectors:
Be (0.0000, 0.0000, 0.0000)  2 Rh 2.27, 2 Au 2.40
Rh (0.6960, 0.6960, 0.1998)  2 Be 2.27
Au (0.2843, 0.2843, 0.7878)  2 Be 2.40
Au (0.4904, 0.4904, 0.4933)  4 Be 2.69-2.71, 4 Rh 2.89-2.98, 6 Au 2.90-2.98

=====

# 16
Entry from the Alexandria database: a geometry-optimized CePW structure (PBE).

## Properties
As for the formation energy: -0.287 eV/atom.

Cell: 8.3296 8.3296 8.3296 Å, 28.68 28.68 28.68°
With the nearest neighbours (Å) after each atom.
Sites, in units of the cell vectors:
Ce (0.1293, 0.1293, 0.1293)  3 P 2.90, 3 Ce 2.98, 3 W 3.18
Ce (0.8707, 0.8707, 0.8707)  3 P 2.90, 3 Ce 2.98, 3 W 3.18
P (0.3937, 0.3937, 0.3937)  4 W 2.43
P (0.6063, 0.6063, 0.6063)  4 W 2.43
W (0.2922, 0.2922, 0.2922)  4 P 2.43
W (0.7078, 0.7078, 0.7078)  4 P 2.43